[1]
Here is a PBEsol-optimized structure of CdAg2Au from the Alexandria database. Energies are from SCAN.

Cell: 5.813 5.812 5.007 Å, 90.00 125.27 90.00°
Space group C2/m (No. 12)
Inequivalent atoms, fractional coordinates:
Cd: 0.000 0.000 0.000 [2 per cell]
Ag: 0.000 0.250 0.500 [4 per cell]
Au: 0.000 0.500 0.000 [2 per cell]

Output
The density of states at the Fermi level is 0.24 states/eV/atom.

[2]
Here is a PBEsol-optimized structure of YZn4Rh from the Alexandria database. Energies are from SCAN.

Cell: 7.126 7.126 7.126 Å, 90.00 90.00 90.00°
Space group F-43m (No. 216)
Inequivalent atoms, fractional coordinates:
Y: 0.000 0.000 0.000 [4 per cell]
Zn: 0.124 0.124 0.624 [16 per cell]
Rh: 0.250 0.250 0.250 [4 per cell]

no.,spin magnetization (Bohr magnetons per cell),V (Å³ per cell),ΔH_f (0 K) (eV per atom)
1,0.0,138.10,-0.139
2,0.0,361.82,-0.560